# ErSc7Rh2

A geometry-optimized ErSc7Rh2 structure (PBE-GGA, Alexandria via LeMat-Bulk).

Geometry as extended XYZ:
```
10
Lattice="4.085 -6.462 0.000 4.085 6.462 0.000 0.000 0.000 5.035" Properties=species:S:1:pos:R:3 pbc="T T T"
Er 0.000 0.000 0.000
Sc 1.593 1.661 2.518
Sc 4.085 2.609 0.000
Sc 1.593 -1.661 2.518
Sc 4.085 0.000 2.518
Sc 6.577 1.661 2.518
Sc 4.085 -2.609 0.000
Sc 6.577 -1.661 2.518
Rh 4.085 2.699 2.518
Rh 4.085 -2.699 2.518
```

Properties
* ΔE_f: -0.121 eV per atom
* symmetry: Cmmm, No. 65
* E_tot: -6.480 eV per atom
* ρ: 4.296 Mg/m³
* DOS at the Fermi energy: 1.33 states/eV per atom
* M_tot: 0.008 μB/f.u.


# ErSc3Rh2

A geometry-optimized ErSc3Rh2 structure (PBE-GGA, Alexandria via LeMat-Bulk).

Geometry as extended XYZ:
```
12
Lattice="4.337 0.000 0.000 0.000 8.389 0.000 0.000 0.000 6.876" Properties=species:S:1:pos:R:3 pbc="T T T"
Er 0.000 0.649 0.000
Er 0.000 7.740 3.438
Sc 0.000 2.789 4.320
Sc 0.000 5.601 0.883
Sc 2.169 1.558 2.359
Sc 2.169 3.519 6.659
Sc 2.169 4.871 3.221
Sc 2.169 6.832 5.797
Rh 0.000 2.946 1.591
Rh 0.000 5.443 5.029
Rh 2.169 1.297 5.040
Rh 2.169 7.093 1.603
```

Properties
* ΔE_f: -0.706 eV per atom
* symmetry: Pmc2_1, No. 26
* E_tot: -7.083 eV per atom
* ρ: 6.742 Mg/m³
* DOS at the Fermi energy: 1.27 states/eV per atom
* M_tot: 0.000 μB/f.u.


# ErSc2Rh3

A geometry-optimized ErSc2Rh3 structure (PBE-GGA, Alexandria via LeMat-Bulk).

Geometry as extended XYZ:
```
6
Lattice="3.280 0.000 0.000 0.000 3.280 0.000 0.000 0.000 9.884" Properties=species:S:1:pos:R:3 pbc="T T T"
Er 0.000 0.000 0.000
Sc 0.000 0.000 3.345
Sc 0.000 0.000 6.539
Rh 1.640 1.640 1.764
Rh 1.640 1.640 4.942
Rh 1.640 1.640 8.120
```

Properties
* ΔE_f: -0.979 eV per atom
* symmetry: P4/mmm, No. 123
* E_tot: -7.526 eV per atom
* ρ: 8.839 Mg/m³
* DOS at the Fermi energy: 0.45 states/eV per atom
* M_tot: 0.000 μB/f.u.